Here is an optimized crystal structure of CsNaCdHg from the Alexandria database. Energies are from PBE.

Summary:
The density of states at the Fermi level is 1.76 states/eV/f.u. As for the formation energy: -0.0623 eV/atom. For the total energy, the calculation gives -14.555 eV per cell. For the energy above the most stable polymorph in this dataset, the calculation gives 80 meV/atom.

Unit cell a=8.616 b=8.616 c=8.616 alpha=90.00 beta=90.00 gamma=90.00
Space group F-43m (No. 216)
Inequivalent atoms, fractional coordinates:
Cs1 0.000 0.000 0.000 x4
Na1 0.000 0.000 0.500 x4
Cd1 0.250 0.250 0.750 x4
Hg1 0.250 0.250 0.250 x4

---

Here is an optimized crystal structure of LiCr2Os from the Alexandria database. Energies are from PBE.

Summary:
The density of states at the Fermi level is 3.86 states/eV/f.u. As for the formation energy: 0.2719 eV/atom. For the total energy, the calculation gives -62.606 eV per cell.

Unit cell a=2.858 b=4.322 c=8.557 alpha=90.00 beta=90.00 gamma=90.00
Space group Cmm2 (No. 35)
Inequivalent atoms, fractional coordinates:
Li1 0.000 0.000 0.000 x2
Cr1 0.000 0.000 0.487 x2
Cr2 0.000 0.500 0.277 x2
Os1 0.000 0.500 0.735 x2

---

Here is an optimized crystal structure of La5In2Sn from the Alexandria database. Energies are from PBE.

Summary:
The density of states at the Fermi level is 9.12 states/eV/f.u. As for the formation energy: -0.5022 eV/atom. For the total energy, the calculation gives -152.537 eV per cell.

Unit cell a=8.845 b=8.845 c=13.392 alpha=90.00 beta=90.00 gamma=90.00
Space group I4/mcm (No. 140)
Inequivalent atoms, fractional coordinates:
La1 0.000 0.000 0.000 x4
La2 0.170 0.330 0.155 x16
In1 0.127 0.373 0.500 x8
Sn1 0.000 0.000 0.250 x4

---

Here is an optimized crystal structure of BeHg3Sb from the Alexandria database. Energies are from PBE.

Summary:
The density of states at the Fermi level is 2.21 states/eV/f.u. Its uncorrected formation energy is 0.7944 eV/atom. For the total energy, the calculation gives -4.782 eV per cell. For the energy above the most stable polymorph in this dataset, the calculation gives 415 meV/atom.

Unit cell a=5.760 b=5.760 c=5.760 alpha=90.00 beta=90.00 gamma=90.00
Space group Pm-3m (No. 221)
Inequivalent atoms, fractional coordinates:
Be1 0.000 0.000 0.000 x1
Hg1 0.000 0.500 0.500 x3
Sb1 0.500 0.500 0.500 x1

---

Here is an optimized crystal structure of Ac2ZnCo3Ge4 from the Alexandria database. Energies are from PBE.

Summary:
The density of states at the Fermi level is 9.03 states/eV/f.u. As for the formation energy: -0.4467 eV/atom. For the total energy, the calculation gives -53.745 eV per cell.

Unit cell a=4.305 b=4.305 c=10.097 alpha=90.00 beta=90.00 gamma=90.00
Space group P-4m2 (No. 115)
Inequivalent atoms, fractional coordinates:
Ac1 0.000 0.500 0.244 x2
Zn1 0.000 0.000 0.500 x1
Co1 0.000 0.500 0.882 x2
Co2 0.500 0.500 0.500 x1
Ge1 0.000 0.000 0.000 x1
Ge2 0.000 0.500 0.639 x2
Ge3 0.500 0.500 0.000 x1

---

Here is an optimized crystal structure of TbTm2Hg from the Alexandria database. Energies are from PBE.

Summary:
The density of states at the Fermi level is 5.15 states/eV/f.u. As for the formation energy: -0.1534 eV/atom. For the total energy, the calculation gives -14.488 eV per cell. For the energy above the most stable polymorph in this dataset, the calculation gives 79 meV/atom.

Unit cell a=4.782 b=4.782 c=4.744 alpha=90.00 beta=90.00 gamma=90.00
Space group P4/mmm (No. 123)
Inequivalent atoms, fractional coordinates:
Tb1 0.000 0.000 0.000 x1
Tm1 0.000 0.500 0.500 x2
Hg1 0.500 0.500 0.000 x1

---

Here is an optimized crystal structure of LaTa3Se from the Alexandria database. Energies are from PBE.

Summary:
The density of states at the Fermi level is 8.15 states/eV/f.u. Its uncorrected formation energy is 0.6215 eV/atom. For the total energy, the calculation gives -40.862 eV per cell. For the energy above the most stable polymorph in this dataset, the calculation gives 0 meV/atom.

Unit cell a=4.880 b=4.880 c=4.880 alpha=90.00 beta=90.00 gamma=90.00
Space group Pm-3m (No. 221)
Inequivalent atoms, fractional coordinates:
La1 0.000 0.000 0.000 x1
Ta1 0.000 0.500 0.500 x3
Se1 0.500 0.500 0.500 x1

---

Here is an optimized crystal structure of HfZrSc2N from the Alexandria database. Energies are from PBE.

Summary:
The density of states at the Fermi level is 8.04 states/eV/f.u. Its uncorrected formation energy is -0.6175 eV/atom. For the total energy, the calculation gives -42.577 eV per cell. For the energy above the most stable polymorph in this dataset, the calculation gives 0 meV/atom.

Unit cell a=4.502 b=4.502 c=4.570 alpha=90.00 beta=90.00 gamma=90.00
Space group P4/mmm (No. 123)
Inequivalent atoms, fractional coordinates:
Hf1 0.000 0.000 0.000 x1
Zr1 0.500 0.500 0.000 x1
Sc1 0.000 0.500 0.500 x2
N1 0.000 0.000 0.500 x1